No. 1
# LaEr7Sc3 PBE relaxed
# Magnetic moment: 0.02 Bohr magnetons per cell
# Mass density: 7.0 g/cm3
# Fermi-level density of states: 18.583 states/eV per cell
# Formation energy: 0.23 eV per atom
data_LaEr7Sc3
_symmetry_space_group_name_H-M 'P 1'
_symmetry_Int_Tables_number 1
_cell_length_a 6.9299
_cell_length_b 6.9299
_cell_length_c 8.2419
_cell_angle_alpha 90.00
_cell_angle_beta 90.00
_cell_angle_gamma 120.00
loop_
_symmetry_equiv_pos_as_xyz
'x,y,z'
loop_
_atom_site_label
_atom_site_type_symbol
_atom_site_fract_x
_atom_site_fract_y
_atom_site_fract_z
La1 La 0.0000 0.0000 0.0000
Er1 Er 0.0026 0.5013 0.0120
Er2 Er 0.3315 0.1657 0.6587
Er3 Er 0.3333 0.6667 0.6675
Er4 Er 0.4987 0.5013 0.0120
Er5 Er 0.4987 0.9974 0.0120
Er6 Er 0.8343 0.1657 0.6587
Er7 Er 0.8343 0.6685 0.6587
Sc1 Sc 0.1689 0.3378 0.3385
Sc2 Sc 0.1689 0.8311 0.3385
Sc3 Sc 0.6622 0.8311 0.3385

---

No. 2
# Pu8Ge3Pd PBE relaxed
# Magnetic moment: 5.20 Bohr magnetons per cell
# Mass density: 13.9 g/cm3
# Fermi-level density of states: 36.569 states/eV per cell
# Formation energy: -0.08 eV per atom
data_Pu8Ge3Pd
_symmetry_space_group_name_H-M 'P 1'
_symmetry_Int_Tables_number 1
_cell_length_a 6.8444
_cell_length_b 6.8444
_cell_length_c 7.2497
_cell_angle_alpha 116.42
_cell_angle_beta 116.42
_cell_angle_gamma 79.56
loop_
_symmetry_equiv_pos_as_xyz
'x,y,z'
loop_
_atom_site_label
_atom_site_type_symbol
_atom_site_fract_x
_atom_site_fract_y
_atom_site_fract_z
Pu1 Pu 0.0000 0.0000 0.0000
Pu2 Pu 0.1630 0.7866 0.5559
Pu3 Pu 0.3277 0.3277 0.2214
Pu4 Pu 0.4004 0.8081 0.2181
Pu5 Pu 0.4231 0.4231 0.9742
Pu6 Pu 0.5262 0.5262 0.7505
Pu7 Pu 0.7866 0.1630 0.5559
Pu8 Pu 0.8081 0.4004 0.2181
Ge1 Ge 0.1877 0.1877 0.4910
Ge2 Ge 0.5659 0.9877 0.9962
Ge3 Ge 0.9877 0.5659 0.9962
Pd1 Pd 0.7140 0.7140 0.5899

---

No. 3
# TlSn2Br8 PBE relaxed
# Magnetic moment: 0.00 Bohr magnetons per cell
# Raw formation energy: -0.64 eV per atom
# Mass density: 3.6 g/cm3
# Fermi-level density of states: 5.230 states/eV per cell
data_TlSn2Br8
_symmetry_space_group_name_H-M 'P 1'
_symmetry_Int_Tables_number 1
_cell_length_a 8.3830
_cell_length_b 8.3830
_cell_length_c 8.2272
_cell_angle_alpha 104.53
_cell_angle_beta 104.53
_cell_angle_gamma 64.25
loop_
_symmetry_equiv_pos_as_xyz
'x,y,z'
loop_
_atom_site_label
_atom_site_type_symbol
_atom_site_fract_x
_atom_site_fract_y
_atom_site_fract_z
Tl1 Tl 0.0000 0.0000 0.0000
Sn1 Sn 0.2078 0.2078 0.6925
Sn2 Sn 0.7922 0.7922 0.3075
Br1 Br 0.1068 0.6591 0.2280
Br2 Br 0.1808 0.1808 0.3677
Br3 Br 0.3409 0.8932 0.7720
Br4 Br 0.3920 0.3920 0.8598
Br5 Br 0.6080 0.6080 0.1402
Br6 Br 0.6591 0.1068 0.2280
Br7 Br 0.8192 0.8192 0.6323
Br8 Br 0.8932 0.3409 0.7720

---

No. 4
# Ac4Pr3Y PBE relaxed
# Magnetic moment: 0.00 Bohr magnetons per cell
# Mass density: 7.4 g/cm3
# Fermi-level density of states: 27.333 states/eV per cell
# Formation energy: 0.03 eV per atom
data_Ac4Pr3Y
_symmetry_space_group_name_H-M 'P 1'
_symmetry_Int_Tables_number 1
_cell_length_a 5.4569
_cell_length_b 10.8951
_cell_length_c 10.7588
_cell_angle_alpha 90.00
_cell_angle_beta 90.00
_cell_angle_gamma 90.00
loop_
_symmetry_equiv_pos_as_xyz
'x,y,z'
loop_
_atom_site_label
_atom_site_type_symbol
_atom_site_fract_x
_atom_site_fract_y
_atom_site_fract_z
Ac1 Ac 0.2500 0.0007 0.1367
Ac2 Ac 0.2500 0.2500 0.8650
Ac3 Ac 0.2500 0.4993 0.1367
Ac4 Ac 0.2500 0.7500 0.8642
Ac5 Ac 0.7500 0.2500 0.1358
Ac6 Ac 0.7500 0.5007 0.8633
Ac7 Ac 0.7500 0.7500 0.1350
Ac8 Ac 0.7500 0.9993 0.8633
Pr1 Pr 0.2500 0.9997 0.6137
Pr2 Pr 0.2500 0.5003 0.6137
Pr3 Pr 0.2500 0.7500 0.3860
Pr4 Pr 0.7500 0.0003 0.3863
Pr5 Pr 0.7500 0.2500 0.6140
Pr6 Pr 0.7500 0.4997 0.3863
Y1 Y 0.2500 0.2500 0.3856
Y2 Y 0.7500 0.7500 0.6144